Entry 1:
This record from the Alexandria database describes crystalline Sc8Cu2Hg at its relaxed geometry. The functional is PBE.

```
Sc8Cu2Hg
1.0
-1.548 1.450 -2.625
7.483 3.707 -2.366
-3.640 -10.333 -1.391
Sc Cu Hg
8 2 1
Direct
0.642 0.791 0.284
0.320 0.524 0.639
0.133 0.094 0.267
0.026 0.363 0.052
0.867 0.906 0.733
0.680 0.476 0.361
0.358 0.209 0.716
0.974 0.637 0.948
0.242 0.781 0.483
0.758 0.219 0.517
0.500 0.000 0.000
```

- ρ: 4.74 g/cm3
- Space group: C2/m, No. 12
- Calculated formation energy: -0.121 eV per atom
- DFT total energy: -60.48 eV/cell

***

Entry 2:
This record from the Alexandria database describes crystalline Sc3Cu2Hg3 at its relaxed geometry. The functional is PBE.

```
Sc3Cu2Hg3
1.0
-2.491 0.829 -2.342
-4.381 -4.897 2.925
-0.036 6.768 2.434
Sc Cu Hg
3 2 3
Direct
0.500 0.409 0.409
0.500 0.591 0.000
0.500 0.000 0.591
0.000 0.333 0.667
0.000 0.667 0.333
0.000 0.755 0.755
0.000 0.245 0.000
0.000 0.000 0.245
```

- ρ: 9.10 g/cm3
- Space group: P-62m, No. 189
- Calculated formation energy: -0.307 eV per atom
- DFT total energy: -30.55 eV/cell

***

Entry 3:
This record from the Alexandria database describes crystalline ScCuHg2 at its relaxed geometry. The functional is PBE.

```
ScCuHg2
1.0
-6.429 -4.484 -1.923
-5.487 -5.787 1.239
-7.475 -2.855 1.050
Cu Hg Sc
1 2 1
Direct
0.750 0.750 0.750
0.008 0.008 0.008
0.492 0.492 0.492
0.250 0.250 0.250
```

- ρ: 9.95 g/cm3
- Space group: R-3m, No. 166
- Calculated formation energy: -0.028 eV per atom
- DFT total energy: -11.14 eV/cell